# Sr2ZnInPd

A relaxed structure of Sr2ZnInPd (PBE, the Alexandria database).

abc: 5.8272 5.8272 4.8842
angles: 90.00 90.00 90.00
Space group P4/mmm (No. 123)
Unique sites:
Sr (0.0000, 0.5000, 0.0000) [2 per cell]
Zn (0.0000, 0.0000, 0.5000) [1 per cell]
In (0.5000, 0.5000, 0.5000) [1 per cell]
Pd (0.0000, 0.0000, 0.0000) [1 per cell]

Calculated values
As for the formation energy: -0.274 eV/atom. The total energy comes out at -2.788 eV/atom. As for the density of states at the Fermi level: 5.1 states/eV per cell.



# SrZn2InPd5

A relaxed structure of SrZn2InPd5 (PBE, the Alexandria database).

abc: 4.7922 4.7922 7.4317
angles: 90.00 90.00 90.00
Space group P4/mmm (No. 123)
Unique sites:
Sr (0.0000, 0.0000, 0.0000) [1 per cell]
Zn (0.5000, 0.5000, 0.3375) [2 per cell]
In (0.0000, 0.0000, 0.5000) [1 per cell]
Pd (0.0000, 0.5000, 0.2841) [4 per cell]
Pd (0.5000, 0.5000, 0.0000) [1 per cell]

Calculated values
As for the formation energy: -0.352 eV/atom. The total energy comes out at -4.011 eV/atom. As for the density of states at the Fermi level: 2.6 states/eV per cell.



# TaIn3Pd

A relaxed structure of TaIn3Pd (PBE, the Alexandria database).

abc: 5.0285 5.0285 5.0285
angles: 90.00 90.00 90.00
Space group Pm-3m (No. 221)
Unique sites:
Ta (0.0000, 0.0000, 0.0000) [1 per cell]
In (0.0000, 0.5000, 0.5000) [3 per cell]
Pd (0.5000, 0.5000, 0.5000) [1 per cell]

Calculated values
As for the formation energy: 0.782 eV/atom. The total energy comes out at -4.270 eV/atom. As for the density of states at the Fermi level: 3.1 states/eV per cell. Its polymorph energy (0 for the lowest one) is 0.0000 eV per atom.



# TaInPd

A relaxed structure of TaInPd (PBE, the Alexandria database).

abc: 4.4679 4.4679 21.9926
angles: 90.00 90.00 120.00
Space group R-3m (No. 166, hexagonal axes)
Unique sites:
Ta (0.0000, 0.0000, 0.2143) [6 per cell]
In (0.0000, 0.0000, 0.3730) [6 per cell]
Pd (0.0000, 0.0000, 0.0988) [6 per cell]

Calculated values
As for the formation energy: 0.100 eV/atom. The total energy comes out at -6.495 eV/atom. As for the density of states at the Fermi level: 8.6 states/eV per cell.



# TaIn2Pd8

A relaxed structure of TaIn2Pd8 (PBE, the Alexandria database).

abc: 8.1839 11.1044 4.2141
angles: 90.00 90.00 90.00
Space group Cmmm (No. 65)
Unique sites:
Ta (0.0000, 0.0000, 0.0000) [2 per cell]
In (0.0000, 0.3703, 0.5000) [4 per cell]
Pd (0.0000, 0.2343, 0.0000) [4 per cell]
Pd (0.1673, 0.1255, 0.5000) [8 per cell]
Pd (0.1721, 0.5000, 0.0000) [4 per cell]

Calculated values
As for the formation energy: -0.308 eV/atom. The total energy comes out at -5.660 eV/atom. As for the density of states at the Fermi level: 8.7 states/eV per cell.



# Ta2InPd

A relaxed structure of Ta2InPd (PBE, the Alexandria database).

abc: 3.8835 3.8835 20.7195
angles: 90.00 90.00 90.00
Space group I-42d (No. 122)
Unique sites:
Ta (0.2472, 0.2500, 0.1250) [8 per cell]
In (0.0000, 0.0000, 0.0000) [4 per cell]
Pd (0.0000, 0.0000, 0.5000) [4 per cell]

Calculated values
As for the formation energy: 0.411 eV/atom. The total energy comes out at -7.498 eV/atom. As for the density of states at the Fermi level: 11.6 states/eV per cell.